No. 1
The following is a PBE-GGA calculation of a relaxed structure of Tc2RuSe, from the Alexandria database.

Geometry as CIF:
```
data_Tc2RuSe
_chemical_formula_sum 'Tc2 Ru1 Se1'
_symmetry_space_group_name_H-M 'P 4/m m m'
_symmetry_Int_Tables_number 123
_symmetry_space_group_name_Hall '-P 4 2'
_cell_length_a 4.473
_cell_length_b 4.473
_cell_length_c 2.940
_cell_angle_alpha 90.00
_cell_angle_beta 90.00
_cell_angle_gamma 90.00
loop_
_atom_site_label
_atom_site_type_symbol
_atom_site_fract_x
_atom_site_fract_y
_atom_site_fract_z
Tc1 Tc 0.000 0.500 0.000
Ru1 Ru 0.000 0.000 0.500
Se1 Se 0.500 0.500 0.500
```

For the energy relative to the elements, uncorrected, the calculation gives 1.27 eV/f.u. The electronic total energy is -8.055 eV/atom. The calculated volume comes out at 59 Å³/cell.

No. 2
The following is a PBE-GGA calculation of a relaxed structure of Tc2RuSe2, from the Alexandria database.

Geometry as CIF:
```
data_Tc2RuSe2
_chemical_formula_sum 'Tc4 Ru2 Se4'
_symmetry_space_group_name_H-M 'I 4/m m m'
_symmetry_Int_Tables_number 139
_symmetry_space_group_name_Hall '-I 4 2'
_cell_length_a 3.877
_cell_length_b 3.877
_cell_length_c 11.272
_cell_angle_alpha 90.00
_cell_angle_beta 90.00
_cell_angle_gamma 90.00
loop_
_atom_site_label
_atom_site_type_symbol
_atom_site_fract_x
_atom_site_fract_y
_atom_site_fract_z
Tc1 Tc 0.000 0.000 0.108
Ru1 Ru 0.000 0.000 0.500
Se1 Se 0.000 0.500 0.250
```

For the energy relative to the elements, uncorrected, the calculation gives 3.32 eV/f.u. As for the energy above the lowest structure with this stoichiometry: 161 meV per atom. The electronic total energy is -6.731 eV/atom. The calculated volume comes out at 169 Å³/cell.

No. 3
The following is a PBE-GGA calculation of a relaxed structure of Tc2RuSe, from the Alexandria database.

Geometry as CIF:
```
data_Tc2RuSe
_chemical_formula_sum 'Tc2 Ru1 Se1'
_symmetry_space_group_name_H-M 'P 1 m 1'
_symmetry_Int_Tables_number 6
_cell_length_a 2.860
_cell_length_b 3.987
_cell_length_c 5.399
_cell_angle_alpha 90.00
_cell_angle_beta 105.31
_cell_angle_gamma 90.00
loop_
_symmetry_equiv_pos_as_xyz
'x,y,z'
'x,-y,z'
loop_
_atom_site_label
_atom_site_type_symbol
_atom_site_fract_x
_atom_site_fract_y
_atom_site_fract_z
Tc1 Tc 0.000 0.000 0.000
Tc2 Tc 0.376 0.500 0.752
Ru1 Ru 0.633 0.500 0.266
Se1 Se 0.229 0.000 0.461
```

For the energy relative to the elements, uncorrected, the calculation gives 0.81 eV/f.u. The electronic total energy is -8.171 eV/atom. The calculated volume comes out at 59 Å³/cell.

No. 4
The following is a PBE-GGA calculation of a relaxed structure of Tc2RuSe, from the Alexandria database.

Geometry as CIF:
```
data_Tc2RuSe
_chemical_formula_sum 'Tc4 Ru2 Se2'
_symmetry_space_group_name_H-M 'C 1 2/m 1'
_symmetry_Int_Tables_number 12
_cell_length_a 9.585
_cell_length_b 2.941
_cell_length_c 4.352
_cell_angle_alpha 90.00
_cell_angle_beta 92.23
_cell_angle_gamma 90.00
loop_
_symmetry_equiv_pos_as_xyz
'x,y,z'
'-x,-y,-z'
'-x,y,-z'
'x,-y,z'
'x+1/2,y+1/2,z'
'-x+1/2,-y+1/2,-z'
'-x+1/2,y+1/2,-z'
'x+1/2,-y+1/2,z'
loop_
_atom_site_label
_atom_site_type_symbol
_atom_site_fract_x
_atom_site_fract_y
_atom_site_fract_z
Tc1 Tc 0.219 0.000 0.227
Ru1 Ru 0.000 0.500 0.000
Se1 Se 0.000 0.000 0.500
```

For the energy relative to the elements, uncorrected, the calculation gives 0.99 eV/f.u. The electronic total energy is -8.127 eV/atom. The calculated volume comes out at 123 Å³/cell.

Which formula does entry 1 have?
Tc2RuSe